Computed, not measured: a relaxed Ca3Nd2PuN6 crystal at the GGA-PBE level of DFT.

Summary:
- Calculated total energy: -187.5 eV per cell
- Total moment: 2.0 μB/f.u.
- DOS at the Fermi energy: 12.177 states/eV/cell

Cell: 6.1657 10.6916 6.0976 Å, 90.00 109.83 90.00°
Last column: nearest neighbours and their distance in Å.
Space group C2/m (No. 12)
Unique sites:
1 Ca 0.0000 0.0000 0.0000 x2  4 N 2.51
2 Ca 0.0000 0.3376 0.0000 x4  6 N 2.51-2.79
3 Nd 0.0000 0.1679 0.5000 x4  6 N 2.51-2.53
4 Pu 0.0000 0.5000 0.5000 x2  6 N 2.18-2.26
5 N 0.2212 0.5000 0.2860 x4  1 Pu 2.18
6 N 0.2250 0.3501 0.7259 x8  1 Pu 2.26, 2 Ca 2.51, 1 Nd 2.51



Computed, not measured: a relaxed InHg2RuPb crystal at the GGA-PBE level of DFT.

Summary:
- Calculated total energy: -11.8 eV per cell
- Total moment: 1.4 μB/f.u.
- DOS at the Fermi energy: 5.287 states/eV/cell

Cell: 5.3826 5.3826 5.1471 Å, 90.00 90.00 90.00°
Last column: nearest neighbours and their distance in Å.
Space group P4/mmm (No. 123)
Unique sites:
1 In 0.0000 0.0000 0.0000 x1  2 Ru 2.57, 4 Hg 2.69
2 Hg 0.0000 0.5000 0.0000 x2  2 In 2.69
3 Ru 0.0000 0.0000 0.5000 x1  2 In 2.57
4 Pb 0.5000 0.5000 0.5000 x1  8 Hg 3.72, 4 Ru 3.81



Computed, not measured: a relaxed La2Pm4C crystal at the GGA-PBE level of DFT.

Summary:
- Calculated total energy: -74.2 eV per cell
- Total moment: 0.0 μB/f.u.
- DOS at the Fermi energy: 17.970 states/eV/cell

Cell: 5.0548 5.0548 18.0490 Å, 90.00 90.00 90.00°
Last column: nearest neighbours and their distance in Å.
Space group I4/mmm (No. 139)
Unique sites:
1 La 0.0000 0.0000 0.1773 x4  5 Pm 3.39-3.65
2 Pm 0.0000 0.0000 0.3649 x4  1 C 2.44
3 Pm 0.0000 0.5000 0.0000 x4  2 C 2.53
4 C 0.0000 0.0000 0.5000 x2  6 Pm 2.44-2.53